[1]
6
Lattice="0.0000 4.3739 4.3739 4.3739 0.0000 4.3739 4.3739 4.3739 0.0000" Properties=species:S:1:pos:R:3 comment="DyInSn4 | Alexandria | PBE | relaxed" final_energy_ev_per_cell=-24.06 pbc="T T T"
Dy 0.0000 0.0000 0.0000
In 6.5609 6.5609 6.5609
Sn 3.2786 3.2786 3.2786
Sn 5.4692 5.4692 3.2786
Sn 5.4692 3.2786 5.4692
Sn 3.2786 5.4692 5.4692

---

[2]
6
Lattice="4.7930 0.0000 0.0000 -2.3965 4.1509 0.0000 0.0000 0.0000 10.5321" Properties=species:S:1:pos:R:3 comment="BaHfHg | Alexandria | PBE | relaxed" polymorph_energy_mev_per_atom=193.4 final_energy_ev_per_cell=-22.54 pbc="T T T"
Ba 0.0000 0.0000 0.0000
Ba 0.0000 0.0000 5.2661
Hf 0.0000 2.7673 2.6330
Hf 2.3965 1.3836 7.8991
Hg 0.0000 2.7673 7.8991
Hg 2.3965 1.3836 2.6330

---

[3]
16
Lattice="7.5483 0.0000 0.0000 0.0000 7.5483 0.0000 0.0000 0.0000 7.5483" Properties=species:S:1:pos:R:3 comment="NdPuBiPd | Alexandria | PBE | relaxed" final_energy_ev_per_cell=-120.26 pbc="T T T"
Nd 0.0000 0.0000 0.0000
Nd 0.0000 3.7741 3.7741
Nd 3.7741 0.0000 3.7741
Nd 3.7741 3.7741 0.0000
Pu 0.0000 0.0000 3.7741
Pu 0.0000 3.7741 0.0000
Pu 3.7741 0.0000 0.0000
Pu 3.7741 3.7741 3.7741
Bi 1.8871 1.8871 1.8871
Bi 1.8871 5.6612 5.6612
Bi 5.6612 1.8871 5.6612
Bi 5.6612 5.6612 1.8871
Pd 1.8871 1.8871 5.6612
Pd 1.8871 5.6612 1.8871
Pd 5.6612 1.8871 1.8871
Pd 5.6612 5.6612 5.6612

---

no.,energy of formation from the pure elements (eV/atom)
1,-0.118
2,0.303
3,-0.473